DFT (GGA-PBE) results for a relaxed structure of RbLi2W.

Summary:
space-group type = No. 122
formation enthalpy at 0 K = 1.549 eV/atom
DFT total energy = -2.89 eV/atom
calculated volume = 247.3 Å³/cell
relative energy among the computed polymorphs = 0.30 eV per formula unit

Structure (POSCAR):
```
RbLi2W
1.0
8.3902 0.0000 0.0000
0.0000 8.3902 0.0000
4.1951 4.1951 3.5136
Li Rb W
4 2 2
Direct
0.3750 0.3226 0.7500
0.6774 0.1250 0.2500
0.0726 0.6250 0.2500
0.8750 0.9274 0.7500
0.5000 0.5000 0.0000
0.2500 0.7500 0.5000
0.0000 0.0000 0.0000
0.7500 0.2500 0.5000
```

=====

DFT (GGA-PBE) results for a relaxed structure of La2Pm2Te2Se3.

Summary:
space-group type = No. 139
DFT total energy = -5.56 eV/atom
calculated volume = 270.2 Å³/cell
ΔE_f (raw) = -1.554 eV/atom

Structure (POSCAR):
```
La2Pm2Te2Se3
1.0
5.7587 0.0000 0.0000
0.0000 5.7587 0.0000
-2.8793 -2.8793 8.1471
La Pm Te Se
2 2 2 3
Direct
0.1952 0.1952 0.3905
0.8048 0.8048 0.6095
0.5000 0.0000 0.0000
0.0000 0.5000 0.0000
0.6047 0.6047 0.2095
0.3953 0.3953 0.7905
0.7500 0.2500 0.5000
0.2500 0.7500 0.5000
0.0000 0.0000 0.0000
```

=====

DFT (GGA-PBE) results for a relaxed structure of RbY2Si.

Summary:
space-group type = No. 141
DFT total energy = -4.33 eV/atom
calculated volume = 425.3 Å³/cell
ΔE_f (raw) = 0.501 eV/atom

Structure (POSCAR):
```
RbY2Si
1.0
7.1757 0.0000 0.0000
0.0000 7.1757 0.0000
3.5878 3.5878 8.2598
Rb Y Si
2 4 2
Direct
0.7500 0.2500 0.5000
0.0000 0.0000 0.0000
0.3749 0.6250 0.2500
0.8750 0.6251 0.7500
0.3750 0.6249 0.7500
0.3751 0.1250 0.2500
0.2500 0.7500 0.5000
0.5000 0.5000 0.0000
```

=====

Summary of size of the total moment in μB/cell
9.07; 0.00; 0.00
(order as listed above)